## MgTe2PtN (PBE)

Data for a relaxed MgTe2PtN crystal.

Summary:
formation energy without anion corrections: 0.23 eV per atom
N(E_F): 0.723 states/eV per atom
total magnetization: 0.0 μB per cell
final energy: -4.22 eV/atom
density: 6.844 Mg/m³

a b c (Å): 5.664 5.664 3.695
angles (deg): 90.00 90.00 90.00
Fractional positions:
Pt 0.000 0.000 0.000
Te 0.500 0.000 0.000
Mg 0.500 0.500 0.500
Te 0.000 0.500 0.000
N 0.000 0.000 0.500



## MgTePtN2 (PBE)

Data for a relaxed MgTePtN2 crystal.

Summary:
formation energy without anion corrections: 1.38 eV per atom
N(E_F): 0.939 states/eV per atom
total magnetization: 3.8 μB per cell
final energy: -4.10 eV/atom
density: 6.236 Mg/m³

a b c (Å): 3.984 3.984 6.291
angles (deg): 90.00 90.00 90.00
Fractional positions:
N 0.000 0.500 0.000
N 0.500 0.000 0.000
Te 0.000 0.000 0.500
Mg 0.000 0.000 0.000
Pt 0.500 0.500 0.500



## MgTi2PtN (PBE)

Data for a relaxed MgTi2PtN crystal.

Summary:
formation energy without anion corrections: -0.97 eV per atom
N(E_F): 0.840 states/eV per atom
total magnetization: 0.0 μB per cell
final energy: -7.32 eV/atom
density: 7.797 Mg/m³

a b c (Å): 4.096 4.096 4.178
angles (deg): 90.00 90.00 90.00
Fractional positions:
Ti 0.500 0.000 0.000
Ti 0.000 0.500 0.000
Mg 0.000 0.000 0.500
N 0.000 0.000 0.000
Pt 0.500 0.500 0.500



## MgVPtN2 (PBE)

Data for a relaxed MgVPtN2 crystal.

Summary:
formation energy without anion corrections: 1.68 eV per atom
N(E_F): 1.214 states/eV per atom
total magnetization: 1.0 μB per cell
final energy: -5.00 eV/atom
density: 6.481 Mg/m³

a b c (Å): 3.963 4.866 3.963
angles (deg): 90.00 90.00 90.00
Fractional positions:
V 0.500 0.500 0.500
N 0.500 0.000 0.000
Pt 0.000 0.000 0.000
Mg 0.000 0.500 0.000
N 0.000 0.000 0.500



## Mg2ZrPtN (PBE)

Data for a relaxed Mg2ZrPtN crystal.

Summary:
formation energy without anion corrections: -0.81 eV per atom
N(E_F): 0.694 states/eV per atom
total magnetization: 0.0 μB per cell
final energy: -6.03 eV/atom
density: 7.409 Mg/m³

a b c (Å): 4.165 4.165 4.508
angles (deg): 90.00 90.00 90.00
Fractional positions:
N 0.000 0.000 0.000
Mg 0.000 0.500 0.000
Zr 0.000 0.000 0.500
Pt 0.500 0.500 0.500
Mg 0.500 0.000 0.000



## PuMgN2 (PBE)

Data for a relaxed PuMgN2 crystal.

Summary:
formation energy without anion corrections: -1.01 eV per atom
N(E_F): 1.418 states/eV per atom
total magnetization: 4.0 μB per cell
final energy: -9.16 eV/atom
density: 9.423 Mg/m³

a b c (Å): 3.404 3.404 5.563
angles (deg): 72.20 72.19 60.00
Fractional positions:
N 0.253 0.254 0.240
N 0.747 0.746 0.760
Pu 0.000 0.000 0.000
Mg 0.500 0.500 0.500



## Pu2MgN2 (PBE)

Data for a relaxed Pu2MgN2 crystal.

Summary:
formation energy without anion corrections: -0.92 eV per atom
N(E_F): 2.276 states/eV per atom
total magnetization: 9.9 μB per cell
final energy: -10.31 eV/atom
density: 10.830 Mg/m³

a b c (Å): 3.472 3.472 7.299
angles (deg): 103.76 103.76 90.00
Fractional positions:
Pu 0.661 0.661 0.321
N 0.830 0.830 0.661
N 0.170 0.170 0.339
Mg 0.000 0.000 0.000
Pu 0.339 0.339 0.679



## Pu2MgN (PBE)

Data for a relaxed Pu2MgN crystal.

Summary:
formation energy without anion corrections: -0.49 eV per atom
N(E_F): 2.888 states/eV per atom
total magnetization: 0.0 μB per cell
final energy: -10.14 eV/atom
density: 10.149 Mg/m³

a b c (Å): 3.323 3.323 9.206
angles (deg): 79.60 79.60 60.00
Fractional positions:
Pu 0.280 0.280 0.160
Mg 0.500 0.500 0.499
Pu 0.053 0.053 0.841
N 0.667 0.667 0.000



## PuMg3N3 (PBE)

Data for a relaxed PuMg3N3 crystal.

Summary:
formation energy without anion corrections: -0.69 eV per atom
N(E_F): 0.936 states/eV per atom
total magnetization: 10.0 μB per cell
final energy: -6.99 eV/atom
density: 6.080 Mg/m³

a b c (Å): 6.228 6.228 6.856
angles (deg): 62.99 62.99 60.00
Fractional positions:
Mg 0.397 0.813 0.651
N 0.536 0.926 0.269
N 0.926 0.269 0.269
Mg 0.139 0.397 0.651
N 0.074 0.731 0.731
Mg 0.187 0.861 0.349
Pu 0.677 0.677 0.970
N 0.464 0.074 0.731
Mg 0.861 0.603 0.349
Mg 0.603 0.187 0.349
N 0.731 0.464 0.731
Pu 0.323 0.323 0.030
N 0.269 0.536 0.269
Mg 0.813 0.139 0.651



## Pu3Mg4N8 (PBE)

Data for a relaxed Pu3Mg4N8 crystal.

Summary:
formation energy without anion corrections: -0.69 eV per atom
N(E_F): 1.009 states/eV per atom
total magnetization: 8.0 μB per cell
final energy: -8.43 eV/atom
density: 7.506 Mg/m³

a b c (Å): 6.624 6.624 6.683
angles (deg): 60.29 60.29 60.00
Fractional positions:
Pu 0.000 0.500 0.500
Mg 0.000 0.000 0.000
N 0.256 0.769 0.718
Mg 0.351 0.351 0.948
N 0.256 0.256 0.718
N 0.769 0.256 0.718
N 0.231 0.744 0.282
Pu 0.500 0.000 0.500
Pu 0.000 0.000 0.500
N 0.744 0.231 0.282
Mg 0.500 0.500 0.500
N 0.229 0.229 0.312
N 0.771 0.771 0.688
Mg 0.649 0.649 0.052
N 0.744 0.744 0.282



## PuMgN2 (PBE)

Data for a relaxed PuMgN2 crystal.

Summary:
formation energy without anion corrections: -1.00 eV per atom
N(E_F): 1.211 states/eV per atom
total magnetization: 8.0 μB per cell
final energy: -9.14 eV/atom
density: 9.461 Mg/m³

a b c (Å): 3.373 3.373 9.141
angles (deg): 90.00 90.00 90.00
Fractional positions:
N 0.701 0.483 0.234
Mg 0.702 0.484 0.000
Mg 0.201 0.984 0.216
N 0.201 0.983 0.982
N 0.201 0.983 0.493
N 0.701 0.483 0.722
Pu 0.201 0.983 0.751
Pu 0.701 0.483 0.464



## Pu2MgN (PBE)

Data for a relaxed Pu2MgN crystal.

Summary:
formation energy without anion corrections: -0.39 eV per atom
N(E_F): 3.322 states/eV per atom
total magnetization: 11.4 μB per cell
final energy: -10.04 eV/atom
density: 9.613 Mg/m³

a b c (Å): 3.306 3.306 9.791
angles (deg): 80.28 80.28 60.00
Fractional positions:
Mg 0.000 0.000 0.000
Pu 0.116 0.116 0.652
Pu 0.884 0.884 0.348
N 0.500 0.500 0.500



## PuMgN2 (PBE)

Data for a relaxed PuMgN2 crystal.

Summary:
formation energy without anion corrections: -0.75 eV per atom
N(E_F): 1.484 states/eV per atom
total magnetization: 4.0 μB per cell
final energy: -8.90 eV/atom
density: 7.461 Mg/m³

a b c (Å): 3.573 3.573 6.313
angles (deg): 73.56 73.56 60.00
Fractional positions:
N 0.889 0.889 0.333
Mg 0.000 0.000 0.000
N 0.111 0.111 0.667
Pu 0.500 0.500 0.500



## Pu4MgN5 (PBE)

Data for a relaxed Pu4MgN5 crystal.

Summary:
formation energy without anion corrections: -1.14 eV per atom
N(E_F): 2.069 states/eV per atom
total magnetization: 18.9 μB per cell
final energy: -11.20 eV/atom
density: 12.333 Mg/m³

a b c (Å): 3.467 4.828 9.108
angles (deg): 105.37 100.97 90.00
Fractional positions:
N 0.603 0.103 0.206
Pu 0.405 0.405 0.809
Mg 0.000 0.000 0.000
N 0.000 0.500 0.000
N 0.804 0.304 0.608
N 0.196 0.696 0.392
Pu 0.802 0.802 0.604
Pu 0.198 0.198 0.396
N 0.397 0.897 0.794
Pu 0.595 0.595 0.191



## Pu2Mg3N4 (PBE)

Data for a relaxed Pu2Mg3N4 crystal.

Summary:
formation energy without anion corrections: -0.82 eV per atom
N(E_F): 1.114 states/eV per atom
total magnetization: 9.9 μB per cell
final energy: -8.23 eV/atom
density: 8.303 Mg/m³

a b c (Å): 3.245 5.590 7.487
angles (deg): 73.68 77.48 73.12
Fractional positions:
N 0.597 0.694 0.111
Pu 0.590 0.203 0.617
Pu 0.410 0.797 0.383
Mg 0.780 0.605 0.836
Mg 0.220 0.395 0.164
N 0.802 0.092 0.303
Mg 0.000 0.000 0.000
N 0.198 0.908 0.697
N 0.403 0.306 0.889



## PuMgN (PBE)

Data for a relaxed PuMgN crystal.

Summary:
formation energy without anion corrections: -0.64 eV per atom
N(E_F): 2.148 states/eV per atom
total magnetization: 10.7 μB per cell
final energy: -8.72 eV/atom
density: 8.702 Mg/m³

a b c (Å): 3.289 5.636 6.277
angles (deg): 105.77 105.19 90.00
Fractional positions:
Pu 0.123 0.343 0.246
N 0.742 0.257 0.484
Mg 0.651 0.854 0.302
N 0.258 0.743 0.516
Pu 0.877 0.657 0.754
Mg 0.349 0.146 0.698



## PuMgN2 (PBE)

Data for a relaxed PuMgN2 crystal.

Summary:
formation energy without anion corrections: -0.84 eV per atom
N(E_F): 1.161 states/eV per atom
total magnetization: 4.0 μB per cell
final energy: -8.98 eV/atom
density: 9.615 Mg/m³

a b c (Å): 3.249 3.249 5.905
angles (deg): 74.03 74.03 60.00
Fractional positions:
Mg 0.672 0.672 0.985
N 0.249 0.249 0.252
Pu 0.498 0.498 0.505
N 0.081 0.081 0.758



## PuMg5N5 (PBE)

Data for a relaxed PuMg5N5 crystal.

Summary:
formation energy without anion corrections: -0.81 eV per atom
N(E_F): 0.530 states/eV per atom
total magnetization: 3.0 μB per cell
final energy: -6.62 eV/atom
density: 5.298 Mg/m³

a b c (Å): 4.426 5.593 6.353
angles (deg): 107.45 90.00 113.31
Fractional positions:
N 0.835 0.670 0.671
Mg 0.678 0.357 0.852
Mg 0.308 0.615 0.666
Mg 0.000 0.000 0.500
N 0.847 0.694 0.175
N 0.500 0.000 0.000
N 0.153 0.306 0.825
Mg 0.322 0.643 0.148
Mg 0.692 0.385 0.334
Pu 0.000 0.000 0.000
N 0.165 0.330 0.329



## PuMg2ReN4 (PBE)

Data for a relaxed PuMg2ReN4 crystal.

Summary:
formation energy without anion corrections: -0.49 eV per atom
N(E_F): 0.941 states/eV per atom
total magnetization: 10.4 μB per cell
final energy: -8.40 eV/atom
density: 8.618 Mg/m³

a b c (Å): 3.210 5.996 11.114
angles (deg): 90.00 90.00 105.53
Fractional positions:
N 0.000 0.000 0.000
N 0.274 0.548 0.120
N 0.274 0.548 0.380
Mg 0.385 0.771 0.527
N 0.431 0.862 0.750
Re 0.179 0.357 0.250
Pu 0.918 0.836 0.250
Mg 0.385 0.771 0.973
Re 0.821 0.643 0.750
N 0.726 0.452 0.620
N 0.726 0.452 0.880
Mg 0.615 0.229 0.473
Mg 0.615 0.229 0.027
Pu 0.082 0.164 0.750
N 0.569 0.138 0.250
N 0.000 0.000 0.500



## SmPuMg2N4 (PBE)

Data for a relaxed SmPuMg2N4 crystal.

Summary:
formation energy without anion corrections: -0.99 eV per atom
N(E_F): 0.557 states/eV per atom
total magnetization: 3.0 μB per cell
final energy: -7.93 eV/atom
density: 7.790 Mg/m³

a b c (Å): 3.420 5.594 5.941
angles (deg): 69.35 90.00 90.00
Fractional positions:
Mg 0.500 0.000 0.500
N 0.500 0.247 0.741
N 0.000 0.735 0.718
Mg 0.000 0.000 0.000
N 0.000 0.265 0.282
Sm 0.500 0.500 0.000
Pu 0.000 0.500 0.500
N 0.500 0.753 0.259



## PuMg2SnN4 (PBE)

Data for a relaxed PuMg2SnN4 crystal.

Summary:
formation energy without anion corrections: -0.57 eV per atom
N(E_F): 0.774 states/eV per atom
total magnetization: 4.0 μB per cell
final energy: -7.42 eV/atom
density: 7.849 Mg/m³

a b c (Å): 3.311 5.634 5.625
angles (deg): 109.57 90.00 90.00
Fractional positions:
N 0.500 0.751 0.749
N 0.000 0.738 0.245
Mg 0.500 0.000 0.500
Mg 0.000 0.500 0.500
Pu 0.000 0.000 0.000
N 0.500 0.249 0.251
Sn 0.500 0.500 0.000
N 0.000 0.262 0.755



## Sr4Pu3MgN8 (PBE)

Data for a relaxed Sr4Pu3MgN8 crystal.

Summary:
formation energy without anion corrections: -0.93 eV per atom
N(E_F): 1.146 states/eV per atom
total magnetization: 10.0 μB per cell
final energy: -8.30 eV/atom
density: 7.991 Mg/m³

a b c (Å): 7.024 7.181 7.025
angles (deg): 119.28 119.99 90.00
Fractional positions:
N 0.758 0.301 0.516
N 0.242 0.699 0.484
Mg 0.000 0.500 0.000
Sr 0.000 0.000 0.000
Sr 0.500 0.000 0.500
N 0.285 0.301 0.043
Pu 0.500 0.500 0.000
Pu 0.000 0.500 0.500
N 0.265 0.296 0.530
N 0.242 0.699 0.957
Sr 0.500 0.000 0.000
N 0.758 0.301 0.043
N 0.735 0.704 0.470
N 0.715 0.699 0.957
Pu 0.500 0.500 0.500
Sr 0.000 0.000 0.500



## SrPuMgN3 (PBE)

Data for a relaxed SrPuMgN3 crystal.

Summary:
formation energy without anion corrections: -0.81 eV per atom
N(E_F): 0.882 states/eV per atom
total magnetization: 6.0 μB per cell
final energy: -7.91 eV/atom
density: 5.861 Mg/m³

a b c (Å): 3.683 7.073 9.597
angles (deg): 115.59 90.00 90.00
Fractional positions:
Mg 0.250 0.012 0.614
Sr 0.250 0.215 0.155
N 0.250 0.066 0.849
N 0.750 0.443 0.093
Sr 0.750 0.785 0.845
N 0.250 0.557 0.907
N 0.250 0.831 0.374
Pu 0.250 0.703 0.140
N 0.750 0.934 0.151
Pu 0.750 0.297 0.860
N 0.750 0.169 0.626
Mg 0.750 0.988 0.386



## Pu2MgTaN5 (PBE)

Data for a relaxed Pu2MgTaN5 crystal.

Summary:
formation energy without anion corrections: -0.98 eV per atom
N(E_F): 1.265 states/eV per atom
total magnetization: 16.0 μB per cell
final energy: -10.28 eV/atom
density: 11.055 Mg/m³

a b c (Å): 3.297 6.726 10.667
angles (deg): 90.00 90.00 104.19
Fractional positions:
N 0.933 0.866 0.568
N 0.734 0.467 0.165
Pu 0.857 0.714 0.786
N 0.491 0.982 0.768
Pu 0.143 0.286 0.286
N 0.624 0.249 0.509
N 0.509 0.018 0.268
Pu 0.912 0.823 0.161
Pu 0.088 0.177 0.661
Ta 0.781 0.562 0.512
Mg 0.464 0.929 0.455
N 0.067 0.134 0.068
Mg 0.536 0.071 0.955
N 0.266 0.533 0.665
N 0.376 0.751 0.009
N 0.300 0.600 0.401
N 0.700 0.400 0.901
Ta 0.219 0.438 0.012